YMnBrO2 after structural relaxation. Source: Alexandria, functional PBE+U.

Cell: 4.060 4.060 4.936 Å, 90.00 90.00 90.00°
Positions (direct):
Y1 0.000 0.000 0.000
Mn1 0.500 0.500 0.500
Br1 0.500 0.500 0.000
O1 0.000 0.500 0.500
O2 0.500 0.000 0.500

Results
Final energy (eV for the cell shown): -31.71